Model w:
A geometry-optimized Ti2AsPb structure, computed with PBE.

Values from the calculation:
Spin magnetization in μB per formula unit: 0.00

abc: 3.5544 3.5544 21.9642
angles: 90.00 90.00 120.00
Space group R3m (No. 160, hexagonal axes)
Symmetry-distinct sites (fractional):
Ti 0.0000 0.0000 0.0000 [3 per cell]
Ti 0.0000 0.0000 0.2014 [3 per cell]
As 0.0000 0.0000 0.6011 [3 per cell]
Pb 0.0000 0.0000 0.4328 [3 per cell]

Model x:
A geometry-optimized Ti2AsPb structure, computed with PBE.

Values from the calculation:
Spin magnetization in μB per formula unit: 0.40

abc: 6.708 6.708 6.708
angles: 90.00 90.00 90.00
Space group Fm-3m (No. 225)
Symmetry-distinct sites (fractional):
Ti 0.250 0.250 0.250 [8 per cell]
As 0.000 0.000 0.000 [4 per cell]
Pb 0.000 0.000 0.500 [4 per cell]

Model y:
A geometry-optimized Ti2AsPb structure, computed with PBE.

Values from the calculation:
Spin magnetization in μB per formula unit: 0.00

abc: 6.064 6.064 12.114
angles: 90.00 90.00 90.00
Space group I-42d (No. 122)
Symmetry-distinct sites (fractional):
Ti 0.210 0.250 0.125 [8 per cell]
As 0.000 0.000 0.000 [4 per cell]
Pb 0.000 0.000 0.500 [4 per cell]

Model z:
A geometry-optimized Ti2AsPb structure, computed with PBE.

Values from the calculation:
Spin magnetization in μB per formula unit: 0.00

abc: 3.6255 3.6255 21.2758
angles: 90.00 90.00 120.00
Space group R-3m (No. 166, hexagonal axes)
Symmetry-distinct sites (fractional):
Ti 0.0000 0.0000 0.2318 [6 per cell]
As 0.0000 0.0000 0.5000 [3 per cell]
Pb 0.0000 0.0000 0.0000 [3 per cell]

Stability check: which of them is least stable? model y.

Model w:
A geometry-optimized TlAsPb structure, computed with PBE.

Values from the calculation:
Spin magnetization in μB per formula unit: 0.00

abc: 8.823 5.090 8.900
angles: 90.00 109.14 90.00
Space group C2/m (No. 12)
Symmetry-distinct sites (fractional):
Tl 0.129 0.000 0.389 [4 per cell]
As 0.092 0.500 0.775 [4 per cell]
Pb 0.210 0.500 0.130 [4 per cell]

Model x:
A geometry-optimized TlAsPb structure, computed with PBE.

Values from the calculation:
Spin magnetization in μB per formula unit: 0.00

abc: 3.709 3.709 12.665
angles: 90.00 90.00 90.00
Space group I4mm (No. 107)
Symmetry-distinct sites (fractional):
Tl 0.000 0.000 0.000 [2 per cell]
As 0.000 0.000 0.657 [2 per cell]
Pb 0.000 0.000 0.278 [2 per cell]

Model y:
A geometry-optimized TlAsPb structure, computed with PBE.

Values from the calculation:
Spin magnetization in μB per formula unit: 0.00

abc: 7.406 5.203 9.167
angles: 90.00 90.00 90.00
Space group Pnma (No. 62)
Symmetry-distinct sites (fractional):
Tl 0.018 0.250 0.184 [4 per cell]
As 0.238 0.750 0.407 [4 per cell]
Pb 0.161 0.250 0.581 [4 per cell]

Stability check: which of them is least stable? model x.

Model w:
A geometry-optimized TlAsPb structure, computed with PBE.

Values from the calculation:
Spin magnetization in μB per formula unit: 0.00

abc: 5.3572 5.3572 3.3439
angles: 90.00 90.00 120.00
Space group P3m1 (No. 156)
Symmetry-distinct sites (fractional):
Tl 0.0000 0.0000 0.0000 [1 per cell]
As 0.6667 0.3333 0.4964 [1 per cell]
Pb 0.3333 0.6667 0.4993 [1 per cell]

Model x:
A geometry-optimized TlAsPb structure, computed with PBE.

Values from the calculation:
Spin magnetization in μB per formula unit: 0.00

abc: 7.264 7.264 7.264
angles: 90.00 90.00 90.00
Space group F-43m (No. 216)
Symmetry-distinct sites (fractional):
Tl 0.000 0.000 0.000 [4 per cell]
As 0.250 0.250 0.250 [4 per cell]
Pb 0.000 0.000 0.500 [4 per cell]

Stability check: which of them is least stable? model w.

Model w:
A geometry-optimized TlAs2Pb structure, computed with PBE.

Values from the calculation:
Spin magnetization in μB per formula unit: 0.00

abc: 4.682 4.682 4.666
angles: 90.00 90.00 90.00
Space group P4/mmm (No. 123)
Symmetry-distinct sites (fractional):
Tl 0.000 0.000 0.000 [1 per cell]
As 0.000 0.500 0.500 [2 per cell]
Pb 0.500 0.500 0.000 [1 per cell]

Model x:
A geometry-optimized TlAs2Pb structure, computed with PBE.

Values from the calculation:
Spin magnetization in μB per formula unit: 0.00

abc: 7.398 7.398 7.398
angles: 90.00 90.00 90.00
Space group Fm-3m (No. 225)
Symmetry-distinct sites (fractional):
Tl 0.000 0.000 0.000 [4 per cell]
As 0.250 0.250 0.250 [8 per cell]
Pb 0.000 0.000 0.500 [4 per cell]

Stability check: which of them is least stable? model x.

Model w:
A geometry-optimized Tl2AsPb structure, computed with PBE.

Values from the calculation:
Spin magnetization in μB per formula unit: 0.00

abc: 11.975 4.021 5.808
angles: 90.00 118.90 90.00
Space group Cm (No. 8)
Symmetry-distinct sites (fractional):
Tl 0.000 0.000 0.000 [2 per cell]
Tl 0.197 0.000 0.659 [2 per cell]
As 0.472 0.000 0.580 [2 per cell]
Pb 0.298 0.500 0.256 [2 per cell]

Model x:
A geometry-optimized Tl2AsPb structure, computed with PBE.

Values from the calculation:
Spin magnetization in μB per formula unit: 0.00

abc: 4.1472 4.1472 24.1898
angles: 90.00 90.00 120.00
Space group R3m (No. 160, hexagonal axes)
Symmetry-distinct sites (fractional):
Tl 0.0000 0.0000 0.0000 [3 per cell]
Tl 0.0000 0.0000 0.1966 [3 per cell]
As 0.0000 0.0000 0.5987 [3 per cell]
Pb 0.0000 0.0000 0.7648 [3 per cell]

Model y:
A geometry-optimized Tl2AsPb structure, computed with PBE.

Values from the calculation:
Spin magnetization in μB per formula unit: 0.00

abc: 3.863 3.863 7.820
angles: 90.00 90.00 90.00
Space group P4mm (No. 99)
Symmetry-distinct sites (fractional):
Tl 0.000 0.000 0.000 [1 per cell]
Tl 0.500 0.500 0.298 [1 per cell]
As 0.000 0.000 0.541 [1 per cell]
Pb 0.500 0.500 0.722 [1 per cell]

Stability check: which of them is least stable? model x.

Model w:
A geometry-optimized Tl2AsPb structure, computed with PBE.

Values from the calculation:
Spin magnetization in μB per formula unit: 0.00

abc: 3.334 4.101 8.839
angles: 90.00 98.88 90.00
Space group Pm (No. 6)
Symmetry-distinct sites (fractional):
Tl 0.000 0.000 0.000 [1 per cell]
Tl 0.344 0.500 0.704 [1 per cell]
As 0.592 0.500 0.201 [1 per cell]
Pb 0.723 0.000 0.436 [1 per cell]

Model x:
A geometry-optimized Tl2AsPb structure, computed with PBE.

Values from the calculation:
Spin magnetization in μB per formula unit: 0.00

abc: 3.6262 3.6262 30.6573
angles: 90.00 90.00 120.00
Space group R-3m (No. 166, hexagonal axes)
Symmetry-distinct sites (fractional):
Tl 0.0000 0.0000 0.2376 [6 per cell]
As 0.0000 0.0000 0.5000 [3 per cell]
Pb 0.0000 0.0000 0.0000 [3 per cell]

Stability check: which of them is least stable? model x.

Model w:
A geometry-optimized TlZnAs2Pb structure, computed with PBE.

Values from the calculation:
Spin magnetization in μB per formula unit: 0.00

abc: 16.481 4.189 9.796
angles: 90.00 126.01 90.00
Space group C2/m (No. 12)
Symmetry-distinct sites (fractional):
Tl 0.205 0.000 0.138 [4 per cell]
Zn 0.052 0.000 0.674 [4 per cell]
As 0.111 0.500 0.851 [4 per cell]
As 0.146 0.000 0.541 [4 per cell]
Pb 0.107 0.500 0.310 [4 per cell]

Model x:
A geometry-optimized TlZnAs2Pb structure, computed with PBE.

Values from the calculation:
Spin magnetization in μB per formula unit: 0.00

abc: 5.430 5.430 6.390
angles: 90.00 90.00 90.00
Space group P4/mmm (No. 123)
Symmetry-distinct sites (fractional):
Tl 0.000 0.000 0.000 [1 per cell]
Zn 0.500 0.500 0.000 [1 per cell]
As 0.000 0.500 0.500 [2 per cell]
Pb 0.000 0.000 0.500 [1 per cell]

Stability check: which of them is least stable? model x.

Model w:
A geometry-optimized Tm2AsPb structure, computed with PBE.

Values from the calculation:
Spin magnetization in μB per formula unit: 0.00

abc: 3.8700 3.8700 8.2672
angles: 90.00 90.00 120.00
Space group P-3m1 (No. 164)
Symmetry-distinct sites (fractional):
Tm 0.3333 0.6667 0.2976 [2 per cell]
As 0.0000 0.0000 0.5000 [1 per cell]
Pb 0.0000 0.0000 0.0000 [1 per cell]

Model x:
A geometry-optimized Tm2AsPb structure, computed with PBE.

Values from the calculation:
Spin magnetization in μB per formula unit: 0.00

abc: 3.9881 3.9881 23.1609
angles: 90.00 90.00 120.00
Space group R-3m (No. 166, hexagonal axes)
Symmetry-distinct sites (fractional):
Tm 0.0000 0.0000 0.2368 [6 per cell]
As 0.0000 0.0000 0.5000 [3 per cell]
Pb 0.0000 0.0000 0.0000 [3 per cell]

Stability check: which of them is least stable? model w.